Material: KAcTlAg
Method: DFT, GGA-PBE
State: relaxed

Values from the calculation:
E_form in eV/atom: -0.05
Magnetic moment in μB per formula unit: 0.00

a = 5.7188 Å, b = 5.7188 Å, c = 5.7188 Å
α = 60.00°, β = 60.00°, γ = 60.00°
Positions (direct):
K: 0.0000 0.0000 0.0000
Ac: 0.5000 0.5000 0.5000
Tl: 0.7500 0.7500 0.7500
Ag: 0.2500 0.2500 0.2500


Material: BeAlCd2
Method: DFT, GGA-PBE
State: relaxed

Values from the calculation:
E_form in eV/atom: 0.38
Magnetic moment in μB per formula unit: 0.00

a = 4.1740 Å, b = 4.1740 Å, c = 4.0913 Å
α = 90.00°, β = 90.00°, γ = 90.00°
Positions (direct):
Be: 0.0000 0.0000 0.0000
Al: 0.5000 0.5000 0.0000
Cd: 0.0000 0.5000 0.5000
Cd: 0.5000 0.0000 0.5000


Material: ZrTa2Ag
Method: DFT, GGA-PBE
State: relaxed

Values from the calculation:
E_form in eV/atom: 0.31
Magnetic moment in μB per formula unit: 0.00

a = 3.0779 Å, b = 3.9133 Å, c = 6.3526 Å
α = 90.00°, β = 90.00°, γ = 90.00°
Positions (direct):
Zr: 0.0000 0.0000 0.0000
Ta: 0.5000 0.5000 0.2561
Ta: 0.5000 0.5000 0.7439
Ag: 0.0000 0.0000 0.5000


Material: Dy6BiSe4
Method: DFT, GGA-PBE
State: relaxed

Values from the calculation:
Magnetic moment in μB per formula unit: 0.00

a = 6.9507 Å, b = 6.9507 Å, c = 20.9470 Å
α = 90.00°, β = 90.00°, γ = 145.75°
Positions (direct):
Dy: 0.0000 0.0000 0.0000
Dy: 0.0000 0.0000 0.5000
Dy: 0.1467 0.8533 0.7500
Dy: 0.2718 0.7282 0.0931
Dy: 0.2718 0.7282 0.4069
Dy: 0.4484 0.5516 0.6623
Dy: 0.4484 0.5516 0.8377
Dy: 0.5516 0.4484 0.1623
Dy: 0.5516 0.4484 0.3377
Dy: 0.7282 0.2718 0.5931
Dy: 0.7282 0.2718 0.9069
Dy: 0.8533 0.1467 0.2500
Bi: 0.1748 0.8252 0.2500
Bi: 0.8252 0.1748 0.7500
Se: 0.0854 0.9146 0.6227
Se: 0.0854 0.9146 0.8773
Se: 0.3576 0.6424 0.5367
Se: 0.3576 0.6424 0.9633
Se: 0.6424 0.3576 0.0367
Se: 0.6424 0.3576 0.4633
Se: 0.9146 0.0854 0.1227
Se: 0.9146 0.0854 0.3773


Raw total energy, record by record: -10.6; -7.8; -33.9; -122.3 eV/cell